1) The following is a GGA-PBE calculation of Nd3GaC after structural relaxation, from the Open Quantum Materials Database.

Unit cell a=5.068 b=5.068 c=5.068 alpha=90.00 beta=90.00 gamma=90.00
Space group Pm-3m (No. 221)
Symmetry-distinct sites (fractional):
1 Nd 0.000 0.000 0.500 x3
2 Ga 0.500 0.500 0.500 x1
3 C 0.000 0.000 0.000 x1

Summary:
Crystal system: cubic



2) The following is a GGA-PBE calculation of Nd3GaC after structural relaxation, from the Open Quantum Materials Database.

Unit cell a=3.744 b=13.083 c=10.240 alpha=90.00 beta=90.00 gamma=90.00
Space group Cmcm (No. 63)
Symmetry-distinct sites (fractional):
1 Nd 0.000 0.051 0.250 x4
2 Nd 0.000 0.371 0.045 x8
3 Ga 0.000 0.251 0.750 x4
4 C 0.000 0.000 0.000 x4

Summary:
Crystal system: orthorhombic



Stability ranking, top entry: 2); the second entry is 2.2 kJ/mol of atoms less favorable.